## HgTe2P (PBE)

Data for HgTe2P after structural relaxation.

Lattice parameters (Å, degrees): 3.3295 3.3295 10.9522 90.00 90.00 90.00
With the nearest neighbours (Å) after each atom.
Atoms (fractional coordinates):
Hg1 0.0000 0.0000 0.5315  4 Hg 3.33
Te1 0.0000 0.0000 0.9239  4 P 2.66
Te2 0.5000 0.5000 0.2340  4 Te 3.33
P1 0.5000 0.5000 0.8107  4 Te 2.66

Results
**SG**: P4mm (99)
**Calculated total energy**: -2.660 eV per atom
**DOS(E_F)**: 3.246 states/eV per cell

***

## AcSmYTh (PBE)

Data for AcSmYTh after structural relaxation.

Lattice parameters (Å, degrees): 5.8534 5.8534 5.8534 60.00 60.00 60.00
With the nearest neighbours (Å) after each atom.
Atoms (fractional coordinates):
Y1 0.7500 0.7500 0.7500  4 Th 3.58, 4 Ac 3.58
Ac1 0.0000 0.0000 0.0000  4 Y 3.58, 4 Sm 3.58
Sm1 0.2500 0.2500 0.2500  4 Ac 3.58, 4 Th 3.58
Th1 0.5000 0.5000 0.5000  4 Sm 3.58, 4 Y 3.58

Results
**SG**: F-43m (216)
**DOS(E_F)**: 7.073 states/eV per cell
**Calculated formation energy**: 158 meV per atom

***

## Ca2ZnHgH (PBE)

Data for Ca2ZnHgH after structural relaxation.

Lattice parameters (Å, degrees): 4.9796 4.9796 4.1070 90.00 90.00 90.00
With the nearest neighbours (Å) after each atom.
Atoms (fractional coordinates):
H1 0.0000 0.0000 0.0000  2 Zn 2.05
Zn1 0.0000 0.0000 0.5000  2 H 2.05
Ca1 0.0000 0.5000 0.0000  2 H 2.49
Ca2 0.5000 0.0000 0.0000  2 H 2.49
Hg1 0.5000 0.5000 0.5000  8 Ca 3.23, 4 Zn 3.52

Results
**SG**: P4/mmm (123)
**Calculated total energy**: -2.136 eV per atom
**DOS(E_F)**: 2.514 states/eV per cell

***

## HfNiBOs2 (PBE)

Data for HfNiBOs2 after structural relaxation.

Lattice parameters (Å, degrees): 4.1666 4.1666 3.8963 90.00 90.00 90.00
With the nearest neighbours (Å) after each atom.
Atoms (fractional coordinates):
Hf1 0.5000 0.5000 0.5000  8 Os 2.85, 4 Ni 2.95
B1 0.0000 0.0000 0.0000  2 Ni 1.95, 4 Os 2.08
Os1 0.0000 0.5000 0.0000  2 B 2.08
Os2 0.5000 0.0000 0.0000  2 B 2.08
Ni1 0.0000 0.0000 0.5000  2 B 1.95

Results
**SG**: P4/mmm (123)
**DOS(E_F)**: 3.770 states/eV per cell
**Calculated formation energy**: -352 meV per atom

***

| no. | density (g/cm³) |
| --- | --- |
| 1 | 6.7 |
| 2 | 8.2 |
| 3 | 5.7 |
| 4 | 15.4 |